[1]
5
Lattice="-2.134 3.161 -1.676 -0.104 -2.005 -3.650 -5.155 -2.635 1.594" Properties=species:S:1:pos:R:3 comment="GeTeAuN2 (PBE, relaxed)" n_ef_per_ev_cell=2.560 sg="P4/mmm, No. 123" volume_a3_per_cell=104.2 e_above_lowest_polymorph_mev_per_atom=452 magmom_total_mub_per_cell=3.21 pbc="T T T"
Au 0.000 0.000 0.000
Ge -3.696 -0.739 -1.866
N -0.052 -1.003 -1.825
N -1.067 1.580 -0.838
Te -2.577 -1.317 0.797

[2]
10
Lattice="-0.612 -3.607 -0.958 2.906 -1.069 2.170 -11.690 -1.923 14.707" Properties=species:S:1:pos:R:3 comment="Dy4TmMg5 (PBE, relaxed)" n_ef_per_ev_cell=14.208 ef_ev_per_fu=-0.7 sg="P4/mmm, No. 123" volume_a3_per_cell=270.1 magmom_total_mub_per_cell=0.00 pbc="T T T"
Dy -2.324 -0.382 2.924
Dy -9.366 -1.540 11.783
Dy -7.020 -1.155 8.832
Dy -4.670 -0.768 5.875
Mg -2.349 -2.913 5.005
Mg -9.395 -4.072 13.870
Mg -7.046 -3.686 10.914
Mg -4.698 -3.299 7.960
Mg 0.000 -2.527 2.049
Tm 0.000 0.000 0.000

[3]
10
Lattice="-0.551 1.992 -3.584 -1.004 -6.269 -3.329 -7.107 -4.703 0.868" Properties=species:S:1:pos:R:3 comment="Pu5ScGe4 (PBE, relaxed)" n_ef_per_ev_cell=22.027 ef_ev_per_fu=-1.7 sg="C2/m, No. 12" volume_a3_per_cell=203.3 magmom_total_mub_per_cell=4.74 pbc="T T T"
Pu -2.816 -4.038 -1.811
Pu -4.144 -5.989 -2.691
Pu -4.518 -2.991 -3.355
Pu -5.847 -4.942 -4.235
Pu -0.778 -2.139 -3.457
Sc -0.276 0.996 -1.792
Ge -5.674 -8.355 -3.771
Ge -2.988 -0.625 -2.276
Ge -7.698 -7.524 -5.385
Ge -0.964 -1.456 -0.661

[4]
11
Lattice="-6.940 0.483 2.215 -0.602 -7.273 -0.225 5.468 3.087 4.391" Properties=species:S:1:pos:R:3 comment="AcLa6Ni4 (PBE, relaxed)" n_ef_per_ev_cell=11.779 ef_ev_per_fu=-2.0 sg="Cm, No. 8" volume_a3_per_cell=301.5 magmom_total_mub_per_cell=0.00 pbc="T T T"
Ac -7.540 -6.788 1.992
La -0.279 1.313 3.417
La -1.771 -0.066 6.493
La 2.141 -1.648 2.486
La -1.568 -2.241 3.051
La 1.396 -3.941 5.274
La -4.442 -4.830 3.814
Ni 0.473 -1.160 4.918
Ni 2.453 0.623 4.391
Ni -2.707 -4.455 1.404
Ni -4.374 -2.416 2.045

[5]
8
Lattice="4.596 0.000 0.000 0.000 4.596 0.000 2.298 2.298 4.649" Properties=species:S:1:pos:R:3 comment="NiB2Ir (PBE, relaxed)" n_ef_per_ev_cell=4.885 ef_ev_per_fu=1.2 sg="I-42d, No. 122" volume_a3_per_cell=98.2 e_above_lowest_polymorph_mev_per_atom=321 magmom_total_mub_per_cell=0.00 pbc="T T T"
Ir 4.596 2.298 2.325
Ir 0.000 0.000 0.000
Ni 2.298 4.596 2.325
Ni 2.298 2.298 0.000
B 1.184 3.447 1.162
B 5.744 5.709 3.487
B 3.447 3.482 3.487
B 3.412 1.149 1.162

[6]
5
Lattice="-2.266 -3.643 2.400 -0.485 -2.477 -4.219 3.972 -1.998 0.717" Properties=species:S:1:pos:R:3 comment="ReWSCl2 (PBE, relaxed)" n_ef_per_ev_cell=5.821 sg="P4/mmm, No. 123" volume_a3_per_cell=108.9 e_above_lowest_polymorph_mev_per_atom=158 magmom_total_mub_per_cell=4.48 pbc="T T T"
Cl -0.242 -1.239 -2.109
Cl -1.133 -1.822 1.200
S 1.986 -0.999 0.359
W 0.611 -4.059 -0.551
Re 0.000 0.000 0.000